[1]
# Sc6In3Au

A relaxed Sc6In3Au crystal (PBE-GGA, Alexandria via LeMat-Bulk).

Results
size of the total moment: 0.0 μB per formula unit
formation enthalpy at 0 K: -10.02 kcal/mol of atoms

```
Sc6In3Au
1.0
8.610 0.000 0.000
0.000 4.978 0.000
-3.291 0.000 10.498
Sc In Au
12 6 2
direct
0.041 0.250 0.418
0.171 0.750 0.167
0.282 0.250 0.006
0.347 0.750 0.805
0.358 0.250 0.322
0.404 0.250 0.616
0.596 0.750 0.384
0.642 0.750 0.678
0.653 0.250 0.195
0.718 0.750 0.994
0.829 0.250 0.833
0.959 0.750 0.582
0.025 0.750 0.880
0.122 0.250 0.718
0.276 0.750 0.469
0.724 0.250 0.531
0.878 0.750 0.282
0.975 0.250 0.120
0.468 0.750 0.129
0.532 0.250 0.871
```

[2]
# MgNiMo

A relaxed MgNiMo crystal (PBE-GGA, Alexandria via LeMat-Bulk).

Results
distance to the lowest polymorph of the same formula: 0.237 eV/atom
size of the total moment: 0.0 μB per formula unit
formation enthalpy at 0 K: 5.68 kcal/mol of atoms

```
MgNiMo
1.0
4.326 0.000 0.000
-2.163 3.746 0.000
0.000 0.000 5.462
Mg Ni Mo
2 2 2
direct
0.000 0.000 0.000
0.000 0.000 0.500
0.333 0.667 0.250
0.667 0.333 0.750
0.333 0.667 0.750
0.667 0.333 0.250
```

[3]
# K3Tm3TeS8

A relaxed K3Tm3TeS8 crystal (PBE-GGA, Alexandria via LeMat-Bulk).

Results
size of the total moment: 0.0 μB per formula unit
ΔE_f (raw): -1.51 eV/atom

```
K3Tm3TeS8
1.0
3.964 2.288 7.478
-3.964 2.288 7.478
0.000 -4.577 7.478
K Tm Te S
3 3 1 8
direct
0.000 0.500 0.500
0.500 0.000 0.500
0.500 0.500 0.000
0.000 0.000 0.500
0.000 0.500 0.000
0.500 0.000 0.000
0.500 0.500 0.500
0.232 0.232 0.232
0.236 0.730 0.730
0.270 0.270 0.764
0.270 0.764 0.270
0.730 0.236 0.730
0.730 0.730 0.236
0.764 0.270 0.270
0.768 0.768 0.768
```

[4]
# FePt4W

A relaxed FePt4W crystal (PBE-GGA, Alexandria via LeMat-Bulk).

Results
distance to the lowest polymorph of the same formula: 0.000 eV/atom
size of the total moment: 3.8 μB per formula unit
formation enthalpy at 0 K: -6.12 kcal/mol of atoms

```
FePt4W
1.0
2.772 0.000 0.000
0.000 2.772 0.000
0.000 0.000 11.827
Fe Pt W
1 4 1
direct
0.000 0.000 0.000
0.000 0.000 0.335
0.000 0.000 0.665
0.500 0.500 0.153
0.500 0.500 0.847
0.500 0.500 0.500
```

[5]
# NbMoAu2

A relaxed NbMoAu2 crystal (PBE-GGA, Alexandria via LeMat-Bulk).

Results
distance to the lowest polymorph of the same formula: 0.000 eV/atom
size of the total moment: 0.0 μB per formula unit
formation enthalpy at 0 K: 8.32 kcal/mol of atoms

```
NbMoAu2
1.0
0.000 3.279 3.279
3.279 0.000 3.279
3.279 3.279 0.000
Nb Mo Au
1 1 2
direct
0.000 0.000 0.000
0.500 0.500 0.500
0.250 0.250 0.250
0.750 0.750 0.750
```

[6]
# MgPaCuSi

A relaxed MgPaCuSi crystal (PBE-GGA, Alexandria via LeMat-Bulk).

Results
size of the total moment: 0.0 μB per formula unit
ΔE_f (raw): -0.12 eV/atom

```
MgPaCuSi
1.0
0.000 3.345 3.345
3.345 0.000 3.345
3.345 3.345 0.000
Mg Pa Cu Si
1 1 1 1
direct
0.000 0.000 0.000
0.500 0.500 0.500
0.750 0.750 0.750
0.250 0.250 0.250
```